(1)
A relaxed structure of Pr6Pd2Cl, computed with GGA-PBE.

Lattice parameters (Å, degrees): 6.8013 7.5479 12.4186 90.00 122.17 90.00
Last column: nearest neighbours and their distance in Å.
Space group P2_1/c (No. 14)
Asymmetric unit:
Pr: 0.0790 0.1889 0.4286 [4 per cell]  1 Cl 2.88, 2 Pd 3.01-3.05
Pr: 0.2624 0.6643 0.4300 [4 per cell]  1 Cl 2.88, 2 Pd 2.99-3.02
Pr: 0.4070 0.0367 0.2435 [4 per cell]  1 Cl 2.91, 2 Pd 3.03
Pd: 0.1706 0.1227 0.7425 [4 per cell]  6 Pr 2.99-3.05
Cl: 0.5000 0.0000 0.5000 [2 per cell]  6 Pr 2.88-2.91

Computed properties:
- ΔE_f (raw): -0.66 eV/atom

(2)
A relaxed structure of Pr2PdCl2, computed with GGA-PBE.

Lattice parameters (Å, degrees): 4.1370 4.1370 31.4496 90.00 90.00 120.00
Last column: nearest neighbours and their distance in Å.
Space group R-3m (No. 166, hexagonal axes)
Asymmetric unit:
Pr: 0.0000 0.0000 0.1112 [6 per cell]  3 Pd 2.96, 3 Cl 2.97
Pd: 0.0000 0.0000 0.5000 [3 per cell]  6 Pr 2.96
Cl: 0.0000 0.0000 0.2780 [6 per cell]  3 Pr 2.97

Computed properties:
- ΔE_f (raw): -1.47 eV/atom

(3)
A relaxed structure of Pr7PdCl12, computed with GGA-PBE.

Lattice parameters (Å, degrees): 15.1274 15.1274 9.8255 90.00 90.00 120.00
Last column: nearest neighbours and their distance in Å.
Space group R-3 (No. 148, hexagonal axes)
Asymmetric unit:
Pr: 0.0000 0.0000 0.0000 [3 per cell]  6 Cl 2.86
Pr: 0.0375 0.1694 0.3336 [18 per cell]  1 Pd 2.85, 5 Cl 2.87-3.01
Pd: 0.0000 0.0000 0.5000 [3 per cell]  6 Pr 2.85
Cl: 0.0310 0.5790 0.1607 [18 per cell]  3 Pr 2.87-3.01
Cl: 0.0409 0.1758 0.8442 [18 per cell]  3 Pr 2.86-2.97

Computed properties:
- ΔE_f (raw): -1.88 eV/atom

(4)
A relaxed structure of PrPdCl6, computed with GGA-PBE.

Lattice parameters (Å, degrees): 6.3827 6.3923 6.9334 89.82 62.75 63.28
Last column: nearest neighbours and their distance in Å.
Space group P-1 (No. 2)
Asymmetric unit:
Pr: 0.0000 0.0000 0.0000 [1 per cell]  6 Cl 2.73-2.84
Pd: 0.0000 0.5000 0.5000 [1 per cell]  6 Cl 2.37-2.62
Cl: 0.1558 0.5641 0.7325 [2 per cell]  1 Pd 2.37
Cl: 0.1775 0.7197 0.2673 [2 per cell]  1 Pd 2.37
Cl: 0.4721 0.1035 0.2579 [2 per cell]  1 Pd 2.62, 1 Pr 2.73

Computed properties:
- ΔE_f (raw): -1.21 eV/atom

(5)
A relaxed structure of Pr6PdPt2Cl3, computed with GGA-PBE.

Lattice parameters (Å, degrees): 19.2871 4.2301 8.9203 90.00 107.61 90.00
Last column: nearest neighbours and their distance in Å.
Space group C2/m (No. 12)
Asymmetric unit:
Pr: 0.0092 0.0000 0.2317 [4 per cell]  1 Pt 2.88, 2 Pd 2.93
Pr: 0.1583 0.5000 0.1043 [4 per cell]  2 Pt 2.90, 1 Pd 2.91
Pr: 0.1762 0.5000 0.5608 [4 per cell]  3 Pt 2.90-2.91
Pd: 0.0000 0.5000 0.0000 [2 per cell]  6 Pr 2.91-2.93
Pt: 0.1659 0.0000 0.3311 [4 per cell]  6 Pr 2.88-2.91
Cl: 0.0000 0.5000 0.5000 [2 per cell]  6 Pr 3.24-3.27
Cl: 0.1662 0.0000 0.8316 [4 per cell]  6 Pr 3.26

Computed properties:
- ΔE_f (raw): -1.25 eV/atom

(6)
A relaxed structure of Pr3PdPtCl, computed with GGA-PBE.

Lattice parameters (Å, degrees): 8.1687 4.2419 9.8384 90.00 105.53 90.00
Last column: nearest neighbours and their distance in Å.
Space group P2_1/m (No. 11)
Asymmetric unit:
Pr: 0.0712 0.2500 0.3419 [2 per cell]  3 Pt 2.93-2.95, 2 Pd 2.97
Pr: 0.2011 0.2500 0.9833 [2 per cell]  3 Cl 2.86-3.19
Pr: 0.4232 0.7500 0.6313 [2 per cell]  1 Cl 2.79, 2 Pt 2.96
Pd: 0.2789 0.7500 0.2578 [2 per cell]  4 Pr 2.97-3.19
Pt: 0.1776 0.2500 0.6507 [2 per cell]  6 Pr 2.93-3.23
Cl: 0.3939 0.7500 0.9074 [2 per cell]  3 Pr 2.79-2.86, 2 Cl 3.02

Computed properties:
- ΔE_f (raw): -0.96 eV/atom

(7)
A relaxed structure of Pr4PdPtCl2, computed with GGA-PBE.

Lattice parameters (Å, degrees): 7.3172 4.2277 7.8520 90.00 108.16 90.00
Last column: nearest neighbours and their distance in Å.
Space group P2/m (No. 10)
Asymmetric unit:
Pr: 0.2358 0.0000 0.2117 [2 per cell]  2 Pt 2.90, 1 Pd 2.92, 1 Cl 3.25
Pr: 0.2586 0.5000 0.7874 [2 per cell]  1 Pt 2.89, 2 Pd 2.92
Pd: 0.5000 0.0000 0.0000 [1 per cell]  6 Pr 2.92
Pt: 0.0000 0.5000 0.0000 [1 per cell]  6 Pr 2.89-2.90
Cl: 0.0000 0.0000 0.5000 [1 per cell]  6 Pr 3.24-3.25
Cl: 0.5000 0.5000 0.5000 [1 per cell]  6 Pr 3.26-3.27

Computed properties:
- ΔE_f (raw): -1.21 eV/atom

(8)
A relaxed structure of Pr4PdRhCl2, computed with GGA-PBE.

Lattice parameters (Å, degrees): 7.2435 4.1663 7.9574 90.00 107.87 90.00
Last column: nearest neighbours and their distance in Å.
Space group P2/m (No. 10)
Asymmetric unit:
Pr: 0.2306 0.0000 0.2070 [2 per cell]  2 Rh 2.86, 1 Pd 2.91
Pr: 0.2547 0.5000 0.7918 [2 per cell]  1 Rh 2.83, 2 Pd 2.90
Pd: 0.5000 0.0000 0.0000 [1 per cell]  6 Pr 2.90-2.91
Rh: 0.0000 0.5000 0.0000 [1 per cell]  6 Pr 2.83-2.86
Cl: 0.0000 0.0000 0.5000 [1 per cell]  6 Pr 3.24-3.26
Cl: 0.5000 0.5000 0.5000 [1 per cell]  6 Pr 3.29-3.33

Computed properties:
- ΔE_f (raw): -1.13 eV/atom

(9)
A relaxed structure of Pr8PdRh3Cl4, computed with GGA-PBE.

Lattice parameters (Å, degrees): 14.3579 8.2917 8.9908 90.00 122.23 90.00
Last column: nearest neighbours and their distance in Å.
Space group C2/m (No. 12)
Asymmetric unit:
Pr: 0.0160 0.2447 0.2933 [8 per cell]  2 Rh 2.84, 1 Pd 2.91
Pr: 0.2357 0.0000 0.7066 [4 per cell]  3 Rh 2.86
Pr: 0.2392 0.5000 0.7066 [4 per cell]  2 Rh 2.84, 1 Pd 2.91
Pd: 0.0000 0.5000 0.5000 [2 per cell]  6 Pr 2.91
Rh: 0.0000 0.0000 0.5000 [2 per cell]  6 Pr 2.84-2.86
Rh: 0.2500 0.2500 0.5000 [4 per cell]  6 Pr 2.84-2.86
Cl: 0.0000 0.0000 0.0000 [2 per cell]  6 Pr 3.23-3.24
Cl: 0.0000 0.5000 0.0000 [2 per cell]  6 Pr 3.27-3.29
Cl: 0.2500 0.2500 0.0000 [4 per cell]  6 Pr 3.27-3.29

Computed properties:
- ΔE_f (raw): -1.15 eV/atom

(10)
A relaxed structure of Pr8PdRu3Cl4, computed with GGA-PBE.

Lattice parameters (Å, degrees): 8.1971 8.1971 23.0799 90.00 90.00 120.00
Last column: nearest neighbours and their distance in Å.
Space group R-3m (No. 166, hexagonal axes)
Asymmetric unit:
Pr: 0.0000 0.0000 0.2365 [6 per cell]  3 Ru 2.86
Pr: 0.0120 0.5060 0.7643 [18 per cell]  2 Ru 2.82, 1 Pd 2.92
Pd: 0.0000 0.0000 0.5000 [3 per cell]  6 Pr 2.92
Ru: 0.0000 0.5000 0.5000 [9 per cell]  6 Pr 2.82-2.86
Cl: 0.0000 0.0000 0.0000 [3 per cell]  6 Pr 3.21
Cl: 0.0000 0.5000 0.0000 [9 per cell]  6 Pr 3.25-3.30

Computed properties:
- ΔE_f (raw): -0.95 eV/atom

(11)
A relaxed structure of Pr6Si2PdCl3, computed with GGA-PBE.

Lattice parameters (Å, degrees): 18.5020 4.2309 8.6338 90.00 101.96 90.00
Last column: nearest neighbours and their distance in Å.
Space group C2/m (No. 12)
Asymmetric unit:
Pr: 0.0052 0.0000 0.2389 [4 per cell]  1 Si 2.92, 2 Pd 2.94, 3 Cl 3.11-3.17
Pr: 0.1638 0.5000 0.1015 [4 per cell]  2 Si 2.93, 1 Pd 2.98, 3 Cl 3.01-3.13
Pr: 0.1712 0.5000 0.5741 [4 per cell]  3 Si 2.93-2.95, 3 Cl 3.10-3.11
Si: 0.1659 0.0000 0.3369 [4 per cell]  6 Pr 2.92-2.95
Pd: 0.0000 0.5000 0.0000 [2 per cell]  6 Pr 2.94-2.98
Cl: 0.0000 0.5000 0.5000 [2 per cell]  6 Pr 3.10-3.11
Cl: 0.1700 0.0000 0.8369 [4 per cell]  6 Pr 3.01-3.17

Computed properties:
- ΔE_f (raw): -1.13 eV/atom

(12)
A relaxed structure of PdPtCl3, computed with GGA-PBE.

Lattice parameters (Å, degrees): 4.8627 4.8627 4.8627 90.00 90.00 90.00
Last column: nearest neighbours and their distance in Å.
Space group Pm-3m (No. 221)
Asymmetric unit:
Pd: 0.0000 0.0000 0.0000 [1 per cell]  12 Cl 3.44
Pt: 0.5000 0.5000 0.5000 [1 per cell]  6 Cl 2.43
Cl: 0.0000 0.5000 0.5000 [3 per cell]  2 Pt 2.43

Computed properties:
- ΔE_f (raw): 0.25 eV/atom
- Polymorph energy (0 for the lowest one): 0.000 eV per atom

Number 1: total magnetization 0.000 μB per atom. Number 2: total magnetization 0.000 μB per atom. Number 3: total magnetization 0.035 μB per atom. Number 4: total magnetization 0.125 μB per atom. Number 5: total magnetization 0.000 μB per atom. Number 6: total magnetization 0.000 μB per atom. Number 7: total magnetization 0.000 μB per atom. Number 8: total magnetization 0.000 μB per atom. Number 9: total magnetization 0.000 μB per atom. Number 10: total magnetization 0.000 μB per atom. Number 11: total magnetization 0.000 μB per atom. Number 12: total magnetization 0.162 μB per atom.